[1]
This record from Alexandria describes KNiOs2N after structural relaxation. The functional is PBE-GGA.

The density of states at the Fermi level is 8.9 states/eV/f.u. For the total energy, the calculation gives -3.441 eV per atom. The calculation puts the total magnetization at 0.01 μB per cell. The energy relative to the elements, uncorrected comes out at 4091.4 meV per atom.

The space group is P4/mmm (No. 123) and the conventional cell measures 4.6528, 4.6528 and 3.9414 Å, with angles of 90.00, 90.00 and 90.00 degrees. Symmetry generates all atoms from K at (0.0000, 0.0000, 0.0000), Ni at (0.5000, 0.5000, 0.5000), Os at (0.0000, 0.5000, 0.0000) and N at (0.0000, 0.0000, 0.5000).

[2]
This record from Alexandria describes KPa2NiN4 after structural relaxation. The functional is PBE-GGA.

The density of states at the Fermi level is 3.5 states/eV/f.u. For the total energy, the calculation gives -8.472 eV per atom. The calculation puts the total magnetization at 0.00 μB per cell. The energy relative to the elements, uncorrected comes out at -1075.9 meV per atom.

The space group is Cmcm (No. 63) and the conventional cell measures 3.6034, 11.9389 and 11.7628 Å, with angles of 90.00, 90.00 and 90.00 degrees. Symmetry generates all atoms from K at (0.0000, 0.0992, 0.2500), Pa at (0.0000, 0.3657, 0.0588), Ni at (0.0000, 0.1735, 0.7500), N at (0.0000, 0.0000, 0.0000), N at (0.0000, 0.2458, 0.5933) and N at (0.0000, 0.3928, 0.2500).

[3]
This record from Alexandria describes KNiSN2 after structural relaxation. The functional is PBE-GGA.

The density of states at the Fermi level is 5.8 states/eV/f.u. For the total energy, the calculation gives -2.906 eV per atom. The calculation puts the total magnetization at 7.01 μB per cell. The energy relative to the elements, uncorrected comes out at 2625.8 meV per atom.

The space group is P4/mmm (No. 123) and the conventional cell measures 4.7592, 4.7592 and 5.9493 Å, with angles of 90.00, 90.00 and 90.00 degrees. Symmetry generates all atoms from K at (0.0000, 0.0000, 0.0000), Ni at (0.5000, 0.5000, 0.5000), S at (0.0000, 0.0000, 0.5000) and N at (0.0000, 0.5000, 0.0000).

[4]
This record from Alexandria describes KNiSe2N after structural relaxation. The functional is PBE-GGA.

The energy above the most stable polymorph in this dataset comes out at 1807 meV/atom. The density of states at the Fermi level is 9.2 states/eV/f.u. For the total energy, the calculation gives -2.464 eV per atom. The calculation puts the total magnetization at 5.99 μB per cell. The energy relative to the elements, uncorrected comes out at 1970.6 meV per atom.

The space group is P4/mmm (No. 123) and the conventional cell measures 5.8032, 5.8032 and 4.8285 Å, with angles of 90.00, 90.00 and 90.00 degrees. Symmetry generates all atoms from K at (0.0000, 0.0000, 0.0000), Ni at (0.5000, 0.5000, 0.5000), Se at (0.0000, 0.5000, 0.0000) and N at (0.0000, 0.0000, 0.5000).

[5]
This record from Alexandria describes KNiSe2N after structural relaxation. The functional is PBE-GGA.

The energy above the most stable polymorph in this dataset comes out at 0 meV/atom. The density of states at the Fermi level is 3.9 states/eV/f.u. For the total energy, the calculation gives -4.271 eV per atom. The calculation puts the total magnetization at 0.00 μB per cell. The energy relative to the elements, uncorrected comes out at 164.1 meV per atom.

The space group is P4/mmm (No. 123) and the conventional cell measures 5.4463, 5.4463 and 3.3908 Å, with angles of 90.00, 90.00 and 90.00 degrees. Symmetry generates all atoms from K at (0.0000, 0.0000, 0.0000), Ni at (0.5000, 0.5000, 0.5000), Se at (0.0000, 0.5000, 0.5000) and N at (0.5000, 0.5000, 0.0000).

[6]
This record from Alexandria describes KNiSn2N after structural relaxation. The functional is PBE-GGA.

The density of states at the Fermi level is 2.7 states/eV/f.u. For the total energy, the calculation gives -3.684 eV per atom. The calculation puts the total magnetization at 0.00 μB per cell. The energy relative to the elements, uncorrected comes out at 958.1 meV per atom.

The space group is P4/mmm (No. 123) and the conventional cell measures 4.7803, 4.7803 and 5.4596 Å, with angles of 90.00, 90.00 and 90.00 degrees. Symmetry generates all atoms from K at (0.0000, 0.0000, 0.0000), Ni at (0.0000, 0.0000, 0.5000), Sn at (0.0000, 0.5000, 0.5000) and N at (0.5000, 0.5000, 0.0000).